# Y2BeSb

A relaxed Y2BeSb crystal (PBE, Alexandria).

abc: 7.2583 7.2583 7.2583
angles: 90.00 90.00 90.00
With the nearest neighbours (Å) after each atom.
Space group Fm-3m (No. 225)
Unique sites:
Y1 0.2500 0.2500 0.2500 x8  4 Sb 3.14, 4 Be 3.14
Be1 0.0000 0.0000 0.0000 x4  8 Y 3.14
Sb1 0.0000 0.0000 0.5000 x4  8 Y 3.14

Values from the calculation:
Crystal system: cubic
V (Å³ per cell): 382
E above lowest polymorph (meV/atom): 307.8